BePAuO2: relaxed, PBE-GGA.

a b c (Å): 3.3851 3.3851 6.0972
angles (deg): 90.00 90.00 90.00
With the nearest neighbours (Å) after each atom.
Positions (direct):
P: 0.0000 0.0000 0.5000  4 Au 2.39
O: 0.0000 0.5000 0.0000  2 Be 1.69
Au: 0.5000 0.5000 0.5000  4 P 2.39
Be: 0.0000 0.0000 0.0000  4 O 1.69
O: 0.5000 0.0000 0.0000  2 Be 1.69

Output
The value obtained for the energy relative to the elements, uncorrected is -0.154 eV per atom. As for the total energy: -23.10 eV per formula unit. For the calculated density, the calculation gives 6.392 g/cm3.